Below is crystalline PmNdErZr at its relaxed geometry, with properties calculated at the GGA-PBE level.

abc: 5.561 5.561 5.561
angles: 60.00 60.00 60.00
Element x y z (fractional)
Er1 0.500 0.500 0.500
Zr1 0.250 0.250 0.250
Pm1 0.000 0.000 0.000
Nd1 0.750 0.750 0.750

Output
SG = F-43m
Crystal system = cubic
Total DFT energy (no corrections) = -5.4116 eV per atom

***

Below is crystalline YZrCuOs at its relaxed geometry, with properties calculated at the GGA-PBE level.

abc: 4.756 4.756 4.756
angles: 60.00 60.00 60.00
Element x y z (fractional)
Y1 0.750 0.750 0.750
Zr1 0.250 0.250 0.250
Os1 0.500 0.500 0.500
Cu1 0.000 0.000 0.000

Output
SG = F-43m
Crystal system = cubic
Total DFT energy (no corrections) = -7.8285 eV per atom

***

Below is crystalline Mg2Cd2In7 at its relaxed geometry, with properties calculated at the GGA-PBE level.

abc: 4.720 9.021 8.392
angles: 122.51 106.33 90.00
Element x y z (fractional)
In1 0.841 0.729 0.683
In2 0.344 0.464 0.688
In3 0.848 0.200 0.695
In4 0.500 0.916 0.000
In5 0.656 0.776 0.312
In6 0.159 0.046 0.317
In7 0.152 0.505 0.305
Mg1 0.000 0.624 0.000
Mg2 0.500 0.341 0.000
Cd1 0.679 0.305 0.358
Cd2 0.321 0.947 0.642

Output
SG = Imm2
Crystal system = orthorhombic
E above lowest polymorph = 0 meV per atom
Total DFT energy (no corrections) = -2.1948 eV per atom

***

Below is crystalline Nd2YBr at its relaxed geometry, with properties calculated at the GGA-PBE level.

abc: 3.721 3.721 10.836
angles: 80.11 80.11 60.00
Element x y z (fractional)
Y1 0.500 0.500 0.500
Nd1 0.258 0.258 0.227
Nd2 0.742 0.742 0.773
Br1 0.000 0.000 0.000

Output
Uncorrected formation energy = -2.19 eV per formula unit
SG = R-3m
Crystal system = trigonal
E above lowest polymorph = 0 meV per atom
Total DFT energy (no corrections) = -4.9664 eV per atom

***

Below is crystalline Zr2PdCO at its relaxed geometry, with properties calculated at the GGA-PBE level.

abc: 4.537 3.872 4.537
angles: 90.00 90.00 90.00
Element x y z (fractional)
Zr1 0.500 0.000 0.000
Zr2 0.000 0.000 0.500
O1 0.500 0.500 0.500
Pd1 0.000 0.500 0.000
C1 0.000 0.000 0.000

Output
Uncorrected formation energy = -1.32 eV per formula unit
SG = P4/mmm
Crystal system = tetragonal
E above lowest polymorph = 0 meV per atom
Total DFT energy (no corrections) = -7.5573 eV per atom

***

Below is crystalline PuBiRu at its relaxed geometry, with properties calculated at the GGA-PBE level.

abc: 3.680 3.680 5.832
angles: 108.39 108.39 90.00
Element x y z (fractional)
Pu1 0.910 0.910 0.821
Ru1 0.326 0.326 0.652
Bi1 0.613 0.613 0.227

Output
SG = I4mm
Crystal system = tetragonal
Total DFT energy (no corrections) = -9.1261 eV per atom

***

| no. | volume (A^3/atom) | density of states at the Fermi level (states/eV per cell) |
| --- | --- | --- |
| 1 | 30.393 | 8.655 |
| 2 | 19.022 | 3.123 |
| 3 | 25.824 | 4.204 |
| 4 | 31.838 | 4.246 |
| 5 | 15.938 | 4.273 |
| 6 | 23.560 | 5.200 |